A plane-wave DFT calculation with PBE-GGA was carried out for a relaxed TaZn2Pt crystal.

Cell and atoms, written as extended XYZ:
```
4
Lattice="-1.352 4.222 -0.415 -2.400 -0.879 -1.125 -2.323 -0.299 4.533" Properties=species:S:1:pos:R:3 pbc="T T T"
Pt -1.857 1.817 0.645
Ta -4.218 1.228 2.349
Zn -2.767 -0.465 4.285
Zn -1.917 -0.422 1.952
```

Results
As for the total magnetic moment: 0.0 μB per formula unit. As for the distance to the lowest polymorph of the same formula: 91.5 meV per atom. The calculation puts the volume at 63.4 Å³ per cell. Its space group is P2/m, No. 10. The density of states at the Fermi level comes out at 1.77 states/eV/cell. The density is 13.3 g/cm3. For the calculated formation energy, the calculation gives -234 meV/atom.